[1]
Below is a geometry-optimized DyTePSe3 structure, with properties calculated at the GGA-PBE level.

E	-4.66	eV per atom
space group	P-1

a b c (Å): 6.9682 7.1123 8.1516
angles (deg): 86.68 86.52 79.92
Closest atoms and distances in Å follow each position.
Fractional coordinates of all 12 atoms:
Dy (0.2085, 0.2086, 0.0618)  5 Se 2.85-3.07, 2 Te 3.17-3.19
Dy (0.7915, 0.7914, 0.9382)  5 Se 2.85-3.07, 2 Te 3.17-3.19
Te (0.0735, 0.0399, 0.7423)  1 P 2.48
Te (0.9265, 0.9601, 0.2577)  1 P 2.48
P (0.3209, 0.7585, 0.8178)  3 Se 2.20-2.27
P (0.6791, 0.2415, 0.1822)  3 Se 2.20-2.27
Se (0.1382, 0.5267, 0.8010)  1 P 2.27
Se (0.3943, 0.7841, 0.0792)  1 P 2.25
Se (0.4086, 0.2825, 0.3392)  1 P 2.20
Se (0.5914, 0.7175, 0.6608)  1 P 2.20
Se (0.6057, 0.2159, 0.9208)  1 P 2.25
Se (0.8618, 0.4733, 0.1990)  1 P 2.27



[2]
Below is a geometry-optimized Ga5Ir structure, with properties calculated at the GGA-PBE level.

E	-3.96	eV per atom
space group	Cmcm

a b c (Å): 5.2209 5.2209 9.1139
angles (deg): 90.00 90.00 105.65
Closest atoms and distances in Å follow each position.
Fractional coordinates of all 12 atoms:
Ga (0.1660, 0.8340, 0.5179)  1 Ir 2.45, 1 Ga 2.53
Ga (0.1660, 0.8340, 0.9821)  1 Ir 2.45, 1 Ga 2.53
Ga (0.1919, 0.3708, 0.2500)  5 Ga 2.54-2.83, 2 Ir 2.62-2.63
Ga (0.3332, 0.6668, 0.7500)  6 Ga 2.53-2.70
Ga (0.3708, 0.1919, 0.7500)  5 Ga 2.54-2.83, 2 Ir 2.62-2.63
Ga (0.6292, 0.8081, 0.2500)  5 Ga 2.54-2.83, 2 Ir 2.62-2.63
Ga (0.6668, 0.3332, 0.2500)  6 Ga 2.53-2.70
Ga (0.8081, 0.6292, 0.7500)  5 Ga 2.54-2.83, 2 Ir 2.62-2.63
Ga (0.8340, 0.1660, 0.0179)  1 Ir 2.45, 1 Ga 2.53
Ga (0.8340, 0.1660, 0.4821)  1 Ir 2.45, 1 Ga 2.53
Ir (0.1435, 0.8565, 0.2500)  6 Ga 2.45-2.63
Ir (0.8565, 0.1435, 0.7500)  6 Ga 2.45-2.63



[3]
Below is a geometry-optimized ZrPb structure, with properties calculated at the GGA-PBE level.

E	-6.21	eV per atom
space group	Pnma

a b c (Å): 5.9374 5.3488 6.0714
angles (deg): 90.00 90.00 90.00
Closest atoms and distances in Å follow each position.
Fractional coordinates of all 8 atoms:
Zr (0.0989, 0.2500, 0.1247)  7 Pb 3.03-3.33, 4 Zr 3.29-3.34
Zr (0.4011, 0.7500, 0.6247)  7 Pb 3.03-3.33, 4 Zr 3.29-3.34
Zr (0.5989, 0.2500, 0.3753)  7 Pb 3.03-3.33, 4 Zr 3.29-3.34
Zr (0.9011, 0.7500, 0.8753)  7 Pb 3.03-3.33, 4 Zr 3.29-3.34
Pb (0.1150, 0.2500, 0.6255)  7 Zr 3.03-3.33, 4 Pb 3.33-3.37
Pb (0.3850, 0.7500, 0.1255)  7 Zr 3.03-3.33, 4 Pb 3.33-3.37
Pb (0.6150, 0.2500, 0.8745)  7 Zr 3.03-3.33, 4 Pb 3.33-3.37
Pb (0.8850, 0.7500, 0.3745)  7 Zr 3.03-3.33, 4 Pb 3.33-3.37



[4]
Below is a geometry-optimized SrPuBe structure, with properties calculated at the GGA-PBE level.

E	-5.84	eV per atom
space group	F-43m

a b c (Å): 5.0994 5.0994 5.0994
angles (deg): 60.00 60.00 60.00
Closest atoms and distances in Å follow each position.
Fractional coordinates of all 3 atoms:
Sr (0.0000, 0.0000, 0.0000)  4 Be 3.12
Pu (0.5000, 0.5000, 0.5000)  4 Be 3.12
Be (0.7500, 0.7500, 0.7500)  4 Sr 3.12, 4 Pu 3.12



[5]
Below is a geometry-optimized TbYHg structure, with properties calculated at the GGA-PBE level.

space group	F-43m
formation energy	-0.13	eV per atom

a b c (Å): 5.1059 5.1059 5.1059
angles (deg): 60.00 60.00 60.00
Closest atoms and distances in Å follow each position.
Fractional coordinates of all 3 atoms:
Tb (0.0000, 0.0000, 0.0000)  4 Hg 3.13
Y (0.5000, 0.5000, 0.5000)  4 Hg 3.13
Hg (0.2500, 0.2500, 0.2500)  4 Tb 3.13, 4 Y 3.13



[6]
Below is a geometry-optimized DyZrAu4 structure, with properties calculated at the GGA-PBE level.

space group	P4/mmm
formation energy	-0.72	eV per atom

a b c (Å): 3.6529 3.6529 8.9449
angles (deg): 90.00 90.00 90.00
Closest atoms and distances in Å follow each position.
Fractional coordinates of all 6 atoms:
Dy (0.0000, 0.0000, 0.0000)  10 Au 3.01-3.03
Zr (0.5000, 0.5000, 0.5000)  10 Au 2.93-2.96
Au (0.0000, 0.0000, 0.3388)  5 Au 2.88-2.98, 4 Zr 2.96, 1 Dy 3.03
Au (0.0000, 0.0000, 0.6612)  5 Au 2.88-2.98, 4 Zr 2.96, 1 Dy 3.03
Au (0.5000, 0.5000, 0.1720)  1 Zr 2.93, 5 Au 2.98-3.08, 4 Dy 3.01
Au (0.5000, 0.5000, 0.8280)  1 Zr 2.93, 5 Au 2.98-3.08, 4 Dy 3.01



[7]
Below is a geometry-optimized BaLuAl4Cu2 structure, with properties calculated at the GGA-PBE level.

E	-3.09	eV per atom
space group	Amm2

a b c (Å): 5.3477 8.5518 8.5518
angles (deg): 35.72 90.00 90.00
Closest atoms and distances in Å follow each position.
Fractional coordinates of all 8 atoms:
Ba (0.0000, 0.0000, 0.0000)  4 Al 3.07, 1 Cu 3.26
Lu (0.0000, 0.3628, 0.3628)  1 Cu 2.65
Al (0.2533, 0.7889, 0.7889)  1 Cu 2.44, 2 Al 2.64-2.71
Al (0.2683, 0.5434, 0.5434)  1 Cu 2.43, 1 Al 2.48
Al (0.7317, 0.5434, 0.5434)  1 Cu 2.43, 1 Al 2.48
Al (0.7467, 0.7889, 0.7889)  1 Cu 2.44, 2 Al 2.64-2.71
Cu (0.0000, 0.1999, 0.1999)  1 Lu 2.65, 2 Cu 2.69
Cu (0.0000, 0.6639, 0.6639)  4 Al 2.43-2.44, 2 Cu 2.69



[8]
Below is a geometry-optimized GaAu7 structure, with properties calculated at the GGA-PBE level.

E	-3.22	eV per atom
space group	Pmmn

a b c (Å): 2.8969 4.1441 38.4685
angles (deg): 90.00 90.00 90.00
Closest atoms and distances in Å follow each position.
Fractional coordinates of all 16 atoms:
Ga (0.2500, 0.2500, 0.2116)  5 Au 2.80-2.86, 2 Ga 2.90
Ga (0.7500, 0.7500, 0.7884)  5 Au 2.80-2.86, 2 Ga 2.90
Au (0.2500, 0.2500, 0.2859)  1 Ga 2.86, 11 Au 2.90-3.02
Au (0.2500, 0.2500, 0.3639)  12 Au 2.90-3.00
Au (0.2500, 0.2500, 0.4417)  12 Au 2.90-2.99
Au (0.2500, 0.2500, 0.5193)  12 Au 2.90-2.99
Au (0.2500, 0.2500, 0.5970)  12 Au 2.90-3.01
Au (0.2500, 0.2500, 0.6752)  12 Au 2.90-3.15
Au (0.2500, 0.2500, 0.7572)  4 Ga 2.80, 6 Au 2.90-3.02
Au (0.7500, 0.7500, 0.2428)  4 Ga 2.80, 6 Au 2.90-3.02
Au (0.7500, 0.7500, 0.3248)  12 Au 2.90-3.15
Au (0.7500, 0.7500, 0.4030)  12 Au 2.90-3.01
Au (0.7500, 0.7500, 0.4807)  12 Au 2.90-2.99
Au (0.7500, 0.7500, 0.5583)  12 Au 2.90-2.99
Au (0.7500, 0.7500, 0.6361)  12 Au 2.90-3.00
Au (0.7500, 0.7500, 0.7141)  1 Ga 2.86, 11 Au 2.90-3.02



[9]
Below is a geometry-optimized Sr2CdPb structure, with properties calculated at the GGA-PBE level.

E	-2.50	eV per atom
space group	Fm-3m

a b c (Å): 5.7417 5.7417 5.7417
angles (deg): 60.00 60.00 60.00
Closest atoms and distances in Å follow each position.
Fractional coordinates of all 4 atoms:
Sr (0.2500, 0.2500, 0.2500)  4 Cd 3.52, 4 Pb 3.52
Sr (0.7500, 0.7500, 0.7500)  4 Cd 3.52, 4 Pb 3.52
Cd (0.0000, 0.0000, 0.0000)  8 Sr 3.52
Pb (0.5000, 0.5000, 0.5000)  8 Sr 3.52



[10]
Below is a geometry-optimized GdTm3C2Se2 structure, with properties calculated at the GGA-PBE level.

E	-6.60	eV per atom
space group	P3m1

a b c (Å): 3.7248 3.7248 13.1514
angles (deg): 90.00 90.00 120.00
Closest atoms and distances in Å follow each position.
Fractional coordinates of all 8 atoms:
Gd (0.0000, 0.0000, 0.0000)  3 C 2.55
Tm (0.0000, 0.0000, 0.6967)  3 C 2.51
Tm (0.6667, 0.3333, 0.2027)  3 C 2.51
Tm (0.6667, 0.3333, 0.5005)  3 C 2.50
C (0.3333, 0.6667, 0.1035)  3 Tm 2.51, 3 Gd 2.55
C (0.3333, 0.6667, 0.5979)  6 Tm 2.50-2.51
Se (0.0000, 0.0000, 0.3510)  6 Tm 2.90-2.91
Se (0.6667, 0.3333, 0.8443)  3 Tm 2.90, 3 Gd 2.97



[11]
Below is a geometry-optimized ErThNp structure, with properties calculated at the GGA-PBE level.

space group	F-43m
formation energy	1.18	eV per atom

a b c (Å): 5.1811 5.1811 5.1811
angles (deg): 60.00 60.00 60.00
Closest atoms and distances in Å follow each position.
Fractional coordinates of all 3 atoms:
Er (0.0000, 0.0000, 0.0000)  4 Th 3.17, 4 Np 3.17
Th (0.2500, 0.2500, 0.2500)  4 Er 3.17
Np (0.7500, 0.7500, 0.7500)  4 Er 3.17



[12]
Below is a geometry-optimized ErScCSe structure, with properties calculated at the GGA-PBE level.

E	-7.06	eV per atom
space group	P-6m2

a b c (Å): 3.6177 3.6177 12.7344
angles (deg): 90.00 90.00 120.00
Closest atoms and distances in Å follow each position.
Fractional coordinates of all 8 atoms:
Er (0.0000, 0.0000, 0.1572)  3 C 2.47
Er (0.0000, 0.0000, 0.8428)  3 C 2.47
Sc (0.6667, 0.3333, 0.3551)  3 C 2.41
Sc (0.6667, 0.3333, 0.6449)  3 C 2.41
C (0.3333, 0.6667, 0.2604)  3 Sc 2.41, 3 Er 2.47
C (0.3333, 0.6667, 0.7396)  3 Sc 2.41, 3 Er 2.47
Se (0.0000, 0.0000, 0.5000)  6 Sc 2.79
Se (0.6667, 0.3333, 0.0000)  6 Er 2.89



[13]
Below is a geometry-optimized TlNiOsPt structure, with properties calculated at the GGA-PBE level.

E	-5.67	eV per atom
space group	F-43m

a b c (Å): 4.4968 4.4968 4.4968
angles (deg): 60.00 60.00 60.00
Closest atoms and distances in Å follow each position.
Fractional coordinates of all 4 atoms:
Tl (0.0000, 0.0000, 0.0000)  4 Pt 2.75, 4 Ni 2.75
Ni (0.2500, 0.2500, 0.2500)  4 Tl 2.75, 4 Os 2.75
Os (0.5000, 0.5000, 0.5000)  4 Pt 2.75, 4 Ni 2.75
Pt (0.7500, 0.7500, 0.7500)  4 Tl 2.75, 4 Os 2.75



[14]
Below is a geometry-optimized LuFe2Re structure, with properties calculated at the GGA-PBE level.

space group	F-43m
formation energy	0.37	eV per atom

a b c (Å): 4.3680 4.3680 4.3680
angles (deg): 60.00 60.00 60.00
Closest atoms and distances in Å follow each position.
Fractional coordinates of all 4 atoms:
Lu (0.0000, 0.0000, 0.0000)  4 Re 2.67, 4 Fe 2.67
Fe (0.2500, 0.2500, 0.2500)  4 Fe 2.67, 4 Lu 2.67
Fe (0.5000, 0.5000, 0.5000)  4 Re 2.67, 4 Fe 2.67
Re (0.7500, 0.7500, 0.7500)  4 Fe 2.67, 4 Lu 2.67



[15]
Below is a geometry-optimized Nb8C3S2N3 structure, with properties calculated at the GGA-PBE level.

E	-9.58	eV per atom
space group	P-3m1

a b c (Å): 3.1926 3.1926 22.3844
angles (deg): 90.00 90.00 120.00
Closest atoms and distances in Å follow each position.
Fractional coordinates of all 16 atoms:
Nb (0.0000, 0.0000, 0.1685)  3 C 2.18
Nb (0.0000, 0.0000, 0.3306)  3 N 2.25
Nb (0.0000, 0.0000, 0.6694)  3 N 2.25
Nb (0.0000, 0.0000, 0.8315)  3 C 2.18
Nb (0.3333, 0.6667, 0.0596)  6 C 2.24-2.28
Nb (0.3333, 0.6667, 0.4453)  6 N 2.21-2.24
Nb (0.6667, 0.3333, 0.5547)  6 N 2.21-2.24
Nb (0.6667, 0.3333, 0.9404)  6 C 2.24-2.28
C (0.0000, 0.0000, 0.0000)  6 Nb 2.28
C (0.3333, 0.6667, 0.8837)  6 Nb 2.18-2.24
C (0.6667, 0.3333, 0.1163)  6 Nb 2.18-2.24
S (0.3333, 0.6667, 0.2528)  6 Nb 2.54-2.64
S (0.6667, 0.3333, 0.7472)  6 Nb 2.54-2.64
N (0.0000, 0.0000, 0.5000)  6 Nb 2.21
N (0.3333, 0.6667, 0.6120)  6 Nb 2.24-2.25
N (0.6667, 0.3333, 0.3880)  6 Nb 2.24-2.25



[16]
Below is a geometry-optimized LiPaW structure, with properties calculated at the GGA-PBE level.

E	-6.79	eV per atom
space group	F-43m

a b c (Å): 4.4618 4.4618 4.4618
angles (deg): 60.00 60.00 60.00
Closest atoms and distances in Å follow each position.
Fractional coordinates of all 3 atoms:
Li (0.0000, 0.0000, 0.0000)  4 Pa 2.73
Pa (0.2500, 0.2500, 0.2500)  4 W 2.73, 4 Li 2.73
W (0.5000, 0.5000, 0.5000)  4 Pa 2.73



[17]
Below is a geometry-optimized KTbZrTe3 structure, with properties calculated at the GGA-PBE level.

E	-4.98	eV per atom
space group	Cmcm

a b c (Å): 8.4021 8.4021 11.5182
angles (deg): 90.00 90.00 148.61
Closest atoms and distances in Å follow each position.
Fractional coordinates of all 12 atoms:
K (0.2467, 0.7533, 0.7500)  8 Te 3.63-4.02
K (0.7533, 0.2467, 0.2500)  8 Te 3.63-4.02
Tb (0.0000, 0.0000, 0.0000)  6 Te 3.15
Tb (0.0000, 0.0000, 0.5000)  6 Te 3.15
Zr (0.4730, 0.5270, 0.2500)  4 Te 2.81-2.84
Zr (0.5270, 0.4730, 0.7500)  4 Te 2.81-2.84
Te (0.0784, 0.9216, 0.2500)  2 Zr 2.84, 2 Tb 3.15
Te (0.3706, 0.6294, 0.0527)  1 Zr 2.81, 2 Tb 3.15
Te (0.3706, 0.6294, 0.4473)  1 Zr 2.81, 2 Tb 3.15
Te (0.6294, 0.3706, 0.5527)  1 Zr 2.81, 2 Tb 3.15
Te (0.6294, 0.3706, 0.9473)  1 Zr 2.81, 2 Tb 3.15
Te (0.9216, 0.0784, 0.7500)  2 Zr 2.84, 2 Tb 3.15



[18]
Below is a geometry-optimized YFeSbOs structure, with properties calculated at the GGA-PBE level.

E	-7.19	eV per atom
space group	F-43m

a b c (Å): 4.7741 4.7741 4.7741
angles (deg): 60.00 60.00 60.00
Closest atoms and distances in Å follow each position.
Fractional coordinates of all 4 atoms:
Y (0.0000, 0.0000, 0.0000)  4 Sb 2.92, 4 Os 2.92
Fe (0.5000, 0.5000, 0.5000)  4 Sb 2.92, 4 Os 2.92
Sb (0.2500, 0.2500, 0.2500)  4 Fe 2.92, 4 Y 2.92
Os (0.7500, 0.7500, 0.7500)  4 Fe 2.92, 4 Y 2.92



[19]
Below is a geometry-optimized Li4InBiAu2 structure, with properties calculated at the GGA-PBE level.

E	-3.10	eV per atom
space group	P-4m2

a b c (Å): 4.6095 4.6095 6.7927
angles (deg): 90.00 90.00 90.00
Closest atoms and distances in Å follow each position.
Fractional coordinates of all 8 atoms:
Li (0.0000, 0.0000, 0.0000)  4 Li 2.89, 4 Au 2.95
Li (0.0000, 0.5000, 0.7423)  4 Li 2.83-2.89, 2 In 2.83, 2 Bi 2.89
Li (0.5000, 0.0000, 0.2577)  4 Li 2.83-2.89, 2 In 2.83, 2 Bi 2.89
Li (0.5000, 0.5000, 0.5000)  4 Au 2.78, 4 Li 2.83
In (0.0000, 0.0000, 0.5000)  4 Au 2.78, 4 Li 2.83
Bi (0.5000, 0.5000, 0.0000)  4 Li 2.89, 4 Au 2.95
Au (0.0000, 0.5000, 0.2719)  4 Li 2.78-2.95, 2 In 2.78, 2 Bi 2.95
Au (0.5000, 0.0000, 0.7281)  2 In 2.78, 4 Li 2.78-2.95, 2 Bi 2.95



[20]
Below is a geometry-optimized TbAl2CuNi structure, with properties calculated at the GGA-PBE level.

E	-4.78	eV per atom
space group	P4/nmm

a b c (Å): 4.1266 4.1266 9.9613
angles (deg): 90.00 90.00 90.00
Closest atoms and distances in Å follow each position.
Fractional coordinates of all 10 atoms:
Tb (0.2500, 0.2500, 0.2461)  4 Ni 3.14, 8 Al 3.15-3.20, 4 Cu 3.26
Tb (0.7500, 0.7500, 0.7539)  4 Ni 3.14, 8 Al 3.15-3.20, 4 Cu 3.26
Al (0.2500, 0.2500, 0.6356)  1 Ni 2.35, 4 Cu 2.47
Al (0.2500, 0.7500, 0.0000)  4 Ni 2.43
Al (0.7500, 0.2500, 0.0000)  4 Ni 2.43
Al (0.7500, 0.7500, 0.3644)  1 Ni 2.35, 4 Cu 2.47
Cu (0.2500, 0.7500, 0.5000)  4 Al 2.47
Cu (0.7500, 0.2500, 0.5000)  4 Al 2.47
Ni (0.2500, 0.2500, 0.8712)  5 Al 2.35-2.43
Ni (0.7500, 0.7500, 0.1288)  5 Al 2.35-2.43